SrTcNi, relaxed, DFT PBE; calculated density = 5.9 g/cm³; DOS(E_F) = 4.12 states/eV/f.u.; magnetization = 0.56 μB per formula unit; energy above the lowest structure with this stoichiometry = 0.000 eV/atom
1.0
4.014 0.000 0.000
-2.007 3.476 0.000
0.000 0.000 4.894
Ni Sr Tc
1 1 1
Cartesian
0.000 0.000 4.078
2.007 1.159 1.632
0.000 2.318 4.079